1.
Density functional theory data (GGA-PBEsol) for an optimized crystal structure of Na3Bi.

Summary:
Its distance to the lowest polymorph of the same formula is 0 meV/atom. The electronic total energy comes out at -20.006 eV/cell.

Unit cell a=5.420 b=5.420 c=9.647 alpha=90.00 beta=90.00 gamma=120.00
Fractional coordinates of all 8 atoms:
Bi 0.667 0.333 0.750
Bi 0.333 0.667 0.250
Na 0.333 0.667 0.917
Na 0.000 0.000 0.250
Na 0.000 0.000 0.750
Na 0.667 0.333 0.083
Na 0.333 0.667 0.583
Na 0.667 0.333 0.417

---

2.
Density functional theory data (GGA-PBEsol) for an optimized crystal structure of Na2NbBi2.

Summary:
The electronic total energy comes out at -42.511 eV/cell.

Unit cell a=5.057 b=7.503 c=7.503 alpha=90.00 beta=90.00 gamma=90.00
Site moments in Bohr magnetons follow the coordinates.
Fractional coordinates of all 10 atoms:
Na 0.500 0.664 0.836  0.00
Nb 0.000 0.000 0.000  1.65
Bi 0.000 0.349 0.849  -0.02
Na 0.500 0.836 0.336  0.00
Na 0.500 0.336 0.164  0.00
Bi 0.000 0.151 0.349  -0.02
Bi 0.000 0.651 0.151  -0.02
Na 0.500 0.164 0.664  0.00
Bi 0.000 0.849 0.651  -0.02
Nb 0.000 0.500 0.500  1.65

---

3.
Density functional theory data (GGA-PBEsol) for an optimized crystal structure of NaNb4Bi5O18.

Summary:
As for the uncorrected formation energy: -1995.0 meV per atom. The electronic total energy comes out at -216.460 eV/cell.

Unit cell a=5.483 b=5.537 c=12.754 alpha=90.07 beta=77.59 gamma=90.30
Fractional coordinates of all 28 atoms:
O 0.598 0.212 0.875
O 0.855 0.633 0.184
O 0.744 0.753 0.498
O 0.832 0.940 0.686
O 0.488 0.424 0.687
Nb 0.665 0.954 0.166
Nb 0.156 0.460 0.168
O 0.146 0.125 0.828
O 0.242 0.753 0.502
O 0.172 0.405 0.000
O 0.038 0.633 0.816
Bi 0.242 0.002 0.000
Nb 0.830 0.954 0.834
O 0.518 0.940 0.314
O 0.974 0.125 0.172
Bi 0.528 0.528 0.399
O 0.394 0.720 0.129
Na 0.737 0.482 0.000
Bi 0.927 0.528 0.601
Bi 0.082 0.028 0.398
O 0.175 0.424 0.313
O 0.260 0.254 0.504
O 0.473 0.212 0.125
O 0.764 0.254 0.496
Nb 0.324 0.460 0.832
O 0.835 0.906 0.000
O 0.523 0.720 0.871
Bi 0.480 0.028 0.602

---

4.
Density functional theory data (GGA-PBEsol) for an optimized crystal structure of Na3Nb6Bi5O24.

Summary:
As for the uncorrected formation energy: -2104.6 meV per atom. The electronic total energy comes out at -296.512 eV/cell.

Unit cell a=5.487 b=5.543 c=16.699 alpha=80.12 beta=89.97 gamma=89.68
Fractional coordinates of all 38 atoms:
Bi 0.975 0.170 0.578
O 0.727 0.886 0.781
O 0.209 0.265 0.022
Nb 0.495 0.914 0.248
Bi 0.029 0.750 0.424
Nb 0.990 0.408 0.249
O 0.699 0.375 0.984
Bi 0.476 0.252 0.425
O 0.425 0.867 0.360
O 0.923 0.530 0.122
Nb 0.992 0.545 0.994
Bi 0.528 0.672 0.577
O 0.072 0.624 0.883
O 0.760 0.486 0.497
O 0.698 0.228 0.260
O 0.579 0.234 0.639
O 0.436 0.109 0.884
O 0.261 0.484 0.503
O 0.780 0.385 0.781
O 0.927 0.730 0.639
O 0.286 0.672 0.217
O 0.290 0.461 0.748
O 0.215 0.962 0.745
Na 0.488 0.452 0.122
Na 0.002 0.080 0.865
Nb 0.495 0.049 0.996
O 0.810 0.742 0.252
Nb 0.502 0.154 0.751
Nb 0.997 0.653 0.751
O 0.288 0.769 0.025
O 0.079 0.390 0.359
O 0.812 0.880 0.991
O 0.209 0.163 0.220
Na 0.497 0.584 0.864
O 0.242 0.985 0.502
O 0.583 0.026 0.121
O 0.741 0.987 0.498
Bi 0.987 0.931 0.122

---

5.
Density functional theory data (GGA-PBEsol) for an optimized crystal structure of Na2NiBi2.

Summary:
The electronic total energy comes out at -14.590 eV/cell.

Unit cell a=4.347 b=4.347 c=8.717 alpha=104.44 beta=104.44 gamma=90.00
Site moments in Bohr magnetons follow the coordinates.
Fractional coordinates of all 5 atoms:
Bi 0.750 0.250 0.500  0.03
Na 0.409 0.409 0.818  0.00
Ni 0.000 0.000 0.000  0.92
Bi 0.250 0.750 0.500  0.03
Na 0.591 0.591 0.182  0.00

---

6.
Density functional theory data (GGA-PBEsol) for an optimized crystal structure of Na3BiO4.

Summary:
As for the uncorrected formation energy: -1353.9 meV per atom. The electronic total energy comes out at -40.313 eV/cell.

Unit cell a=3.306 b=5.781 c=5.781 alpha=108.88 beta=90.00 gamma=90.00
Fractional coordinates of all 8 atoms:
Na 0.000 0.000 0.500
O 0.000 0.223 0.223
O 0.500 0.782 0.218
O 0.500 0.218 0.782
Na 0.000 0.500 0.000
Na 0.500 0.500 0.500
O 0.000 0.777 0.777
Bi 0.500 0.000 0.000

---

7.
Density functional theory data (GGA-PBEsol) for an optimized crystal structure of Na3BiO.

Summary:
As for the uncorrected formation energy: -609.1 meV per atom. The electronic total energy comes out at -16.780 eV/cell.

Unit cell a=4.695 b=4.695 c=4.695 alpha=90.00 beta=90.00 gamma=90.00
Fractional coordinates of all 5 atoms:
Bi 0.500 0.500 0.500
Na 0.000 0.500 0.000
Na 0.000 0.000 0.500
O 0.000 0.000 0.000
Na 0.500 0.000 0.000

---

8.
Density functional theory data (GGA-PBEsol) for an optimized crystal structure of Na2Bi4O7.

Summary:
As for the uncorrected formation energy: -1292.3 meV per atom. The electronic total energy comes out at -146.972 eV/cell.

Unit cell a=5.919 b=9.432 c=10.139 alpha=116.38 beta=105.00 gamma=94.08
Fractional coordinates of all 26 atoms:
O 0.560 0.016 0.381
Na 0.582 0.508 0.172
O 0.322 0.365 0.381
Na 0.910 0.336 0.828
O 0.308 0.720 0.030
Bi 0.285 0.117 0.504
Bi 0.004 0.260 0.143
O 0.428 0.678 0.357
O 0.038 0.508 0.720
Bi 0.996 0.740 0.857
O 0.440 0.984 0.619
Bi 0.720 0.388 0.504
O 0.182 0.212 0.720
O 0.962 0.492 0.280
O 0.572 0.322 0.643
O 0.818 0.788 0.280
O 0.778 0.690 0.970
Bi 0.280 0.612 0.496
Na 0.418 0.492 0.828
O 0.222 0.310 0.030
O 0.692 0.280 0.970
Na 0.090 0.664 0.172
Bi 0.639 0.883 0.143
O 0.678 0.635 0.619
Bi 0.361 0.117 0.857
Bi 0.715 0.883 0.496